## AcTmMg2Tl4 (PBE)

Data for a relaxed structure of AcTmMg2Tl4.

DFT formation energy (eV per formula unit): -1.8
Energy (eV/atom): -2.880

a b c (Å): 5.0892 5.0892 10.4386
angles (deg): 75.89 75.89 60.00
Fractional positions:
1 Ac 0.0000 0.0000 0.0000
2 Tm 0.5000 0.5000 0.5000
3 Mg 0.7574 0.7574 0.7277
4 Mg 0.2426 0.2426 0.2723
5 Tl 0.3907 0.3907 0.8279
6 Tl 0.8733 0.8733 0.3801
7 Tl 0.1267 0.1267 0.6199
8 Tl 0.6093 0.6093 0.1721